(1)
Ce3NpSb4 | PBE-GGA | relaxed Values from VASP.

```
&SYSTEM
  ibrav = 0, nat = 8, ntyp = 3
/
ATOMIC_SPECIES
Ce 140.12 Ce.upf
Np 237.00 Np.upf
Sb 121.76 Sb.upf
CELL_PARAMETERS angstrom
-4.458 -0.170 0.222
0.165 -7.394 -2.339
0.376 0.260 7.744
ATOMIC_POSITIONS crystal
Ce 0.000 0.000 0.500
Ce 0.000 0.500 0.000
Ce 0.500 0.500 0.500
Np 0.500 0.000 0.000
Sb 0.000 0.246 0.246
Sb 0.500 0.249 0.751
Sb 0.000 0.754 0.754
Sb 0.500 0.751 0.249
```

Summary:
Fermi-level density of states: 3.82 states/eV/atom
Energy relative to the elements, uncorrected: -79 kJ/mol of atoms
M_tot: 5.0 μB per formula unit
Energy: -6.73 eV/atom
Symmetry: No. 65


(2)
CeSmNp2Sb4 | PBE-GGA | relaxed Values from VASP.

```
&SYSTEM
  ibrav = 0, nat = 8, ntyp = 4
/
ATOMIC_SPECIES
Sb 121.76 Sb.upf
Np 237.00 Np.upf
Ce 140.12 Ce.upf
Sm 150.36 Sm.upf
CELL_PARAMETERS angstrom
4.434 0.000 0.000
0.000 7.698 0.141
0.000 -2.681 7.219
ATOMIC_POSITIONS crystal
Sb 0.000 0.752 0.255
Sb 0.500 0.749 0.745
Sb 0.000 0.248 0.745
Sb 0.500 0.251 0.255
Np 0.500 0.000 0.500
Np 0.000 0.500 0.500
Ce 0.500 0.500 0.000
Sm 0.000 0.000 0.000
```

Summary:
Fermi-level density of states: 3.75 states/eV/atom
Energy relative to the elements, uncorrected: -61 kJ/mol of atoms
M_tot: 0.7 μB per formula unit
Energy: -7.26 eV/atom
Symmetry: No. 10


> Number 1 is which compound?

Ce3NpSb4


> Which of these has the lowest Fermi-level density of states?

CeSmNp2Sb4